(1)
A plane-wave DFT calculation with PBE was carried out for crystalline Mn2InH at its relaxed geometry.

ΔE to the lowest computed polymorph in meV/atom: 549.9
Space-group type: Fm-3m, No. 225

Cell: 4.415 4.415 4.415 Å, 60.00 60.00 60.00°
Atoms (fractional coordinates):
H 0.000 0.000 0.000
Mn 0.250 0.250 0.250
Mn 0.750 0.750 0.750
In 0.500 0.500 0.500

=====

(2)
A plane-wave DFT calculation with PBE was carried out for crystalline MnInHN2 at its relaxed geometry.

Uncorrected energy in eV per atom: -4.87
Space-group type: P4/mmm, No. 123

Cell: 4.022 3.298 4.022 Å, 90.00 90.00 90.00°
Atoms (fractional coordinates):
In 0.000 0.500 0.000
N 0.000 0.000 0.500
Mn 0.500 0.500 0.500
H 0.000 0.000 0.000
N 0.500 0.000 0.000

=====

(3)
A plane-wave DFT calculation with PBE was carried out for crystalline MnInNi2H at its relaxed geometry.

Uncorrected energy in eV per atom: -5.40
Space-group type: P4/mmm, No. 123

Cell: 3.884 3.884 3.783 Å, 90.00 90.00 90.00°
Atoms (fractional coordinates):
Ni 0.000 0.500 0.000
Ni 0.500 0.000 0.000
H 0.000 0.000 0.000
In 0.500 0.500 0.500
Mn 0.000 0.000 0.500

=====

Which formula does entry 1 have?
Mn2InH